Entry from Alexandria via LeMat-Bulk: crystalline TcPtSe2Br at its relaxed geometry (PBE).

Results
Formation energy without anion corrections   0.81 eV/atom
Size of the total moment   0.00 μB per formula unit
ρ   7.48 g cm⁻³

Cell: 4.733 4.733 5.259 Å, 90.00 90.00 90.00°
Positions (direct):
1 Br 0.000 0.000 0.500
2 Se 0.500 0.000 0.000
3 Se 0.000 0.500 0.000
4 Pt 0.500 0.500 0.500
5 Tc 0.000 0.000 0.000


Entry from Alexandria via LeMat-Bulk: crystalline TcPtSeBr2 at its relaxed geometry (PBE).

Results
Formation energy without anion corrections   0.82 eV/atom
Size of the total moment   5.02 μB per formula unit
ρ   6.71 g cm⁻³

Cell: 5.091 5.091 5.076 Å, 90.00 90.00 90.00°
Site moments in Bohr magnetons follow the coordinates.
Positions (direct):
1 Br 0.500 0.000 0.000  0.07
2 Br 0.000 0.500 0.000  0.07
3 Tc 0.500 0.500 0.500  4.03
4 Pt 0.000 0.000 0.000  0.02
5 Se 0.000 0.000 0.500  0.09


Entry from Alexandria via LeMat-Bulk: crystalline TiPtSe2Br at its relaxed geometry (PBE).

Results
Formation energy without anion corrections   0.20 eV/atom
Size of the total moment   0.00 μB per formula unit
ρ   6.71 g cm⁻³

Cell: 4.974 4.974 4.813 Å, 90.00 90.00 90.00°
Positions (direct):
1 Ti 0.000 0.000 0.000
2 Se 0.000 0.500 0.000
3 Se 0.500 0.000 0.000
4 Br 0.000 0.000 0.500
5 Pt 0.500 0.500 0.500


Entry from Alexandria via LeMat-Bulk: crystalline TlPtSeBr2 at its relaxed geometry (PBE).

Results
Formation energy without anion corrections   0.86 eV/atom
Size of the total moment   1.48 μB per formula unit
ρ   6.40 g cm⁻³

Cell: 5.466 5.466 5.539 Å, 90.00 90.00 90.00°
Site moments in Bohr magnetons follow the coordinates.
Positions (direct):
1 Br 0.500 0.000 0.000  0.04
2 Br 0.000 0.500 0.000  0.04
3 Pt 0.500 0.500 0.500  0.83
4 Tl 0.000 0.000 0.000  0.00
5 Se 0.000 0.000 0.500  0.30


Entry from Alexandria via LeMat-Bulk: crystalline TlPtSeBr2 at its relaxed geometry (PBE).

Results
Formation energy without anion corrections   -0.20 eV/atom
Size of the total moment   0.00 μB per formula unit
ρ   7.45 g cm⁻³

Cell: 5.424 5.424 4.838 Å, 90.00 90.00 90.00°
Positions (direct):
1 Tl 0.500 0.500 0.500
2 Pt 0.000 0.000 0.000
3 Se 0.000 0.000 0.500
4 Br 0.500 0.000 0.000
5 Br 0.000 0.500 0.000


Entry from Alexandria via LeMat-Bulk: crystalline VPtSeBr2 at its relaxed geometry (PBE).

Results
Formation energy without anion corrections   0.49 eV/atom
Size of the total moment   3.12 μB per formula unit
ρ   6.11 g cm⁻³

Cell: 5.076 5.076 5.109 Å, 90.00 90.00 90.00°
Site moments in Bohr magnetons follow the coordinates.
Positions (direct):
1 Br 0.500 0.000 0.000  -0.01
2 Br 0.000 0.500 0.000  -0.01
3 Pt 0.000 0.000 0.000  -0.05
4 Se 0.000 0.000 0.500  -0.19
5 V 0.500 0.500 0.500  3.01


Entry from Alexandria via LeMat-Bulk: crystalline PtWSe2Br at its relaxed geometry (PBE).

Results
Formation energy without anion corrections   0.86 eV/atom
Size of the total moment   0.00 μB per formula unit
ρ   8.59 g cm⁻³

Cell: 4.902 4.902 4.963 Å, 90.00 90.00 90.00°
Positions (direct):
1 Se 0.000 0.500 0.000
2 Se 0.500 0.000 0.000
3 Br 0.000 0.000 0.500
4 W 0.000 0.000 0.000
5 Pt 0.500 0.500 0.500


Entry from Alexandria via LeMat-Bulk: crystalline YPtSe2Br at its relaxed geometry (PBE).

Results
Formation energy without anion corrections   0.09 eV/atom
Size of the total moment   1.41 μB per formula unit
ρ   5.36 g cm⁻³

Cell: 5.504 5.504 5.333 Å, 90.00 90.00 90.00°
Site moments in Bohr magnetons follow the coordinates.
Positions (direct):
1 Y 0.000 0.000 0.000  0.00
2 Pt 0.500 0.500 0.500  0.73
3 Se 0.000 0.500 0.000  0.19
4 Se 0.500 0.000 0.000  0.19
5 Br 0.000 0.000 0.500  0.04


Number 1: excess energy over the best structure of this formula in the dataset 0 meV per atom. Number 2: excess energy over the best structure of this formula in the dataset 0 meV per atom. Number 3: excess energy over the best structure of this formula in the dataset 0 meV per atom. Number 4: excess energy over the best structure of this formula in the dataset 1063 meV per atom. Number 5: excess energy over the best structure of this formula in the dataset 0 meV per atom. Number 6: excess energy over the best structure of this formula in the dataset 0 meV per atom. Number 7: excess energy over the best structure of this formula in the dataset 0 meV per atom. Number 8: excess energy over the best structure of this formula in the dataset 524 meV per atom.